## NaGa4PdAu2 (PBE)

Data for NaGa4PdAu2 after structural relaxation.

CIF file:
```
data_NaGa4PdAu2
_space_group_name_H-M_alt 'P 1'
_space_group_IT_number 1
_space_group_name_Hall 'P 1'
_cell_length_a 4.388
_cell_length_b 4.388
_cell_length_c 9.660
_cell_angle_alpha 76.87
_cell_angle_beta 76.87
_cell_angle_gamma 60.00
loop_
_atom_site_label
_atom_site_type_symbol
_atom_site_fract_x
_atom_site_fract_y
_atom_site_fract_z
Na1 Na 0.000 0.000 0.000
Ga1 Ga 0.401 0.401 0.798
Ga2 Ga 0.864 0.864 0.407
Ga3 Ga 0.136 0.136 0.593
Ga4 Ga 0.599 0.599 0.202
Pd1 Pd 0.500 0.500 0.500
Au1 Au 0.755 0.755 0.734
Au2 Au 0.245 0.245 0.266
```

Values from the calculation:
Its crystal system is trigonal. The formation energy comes out at -6.4 kcal/mol of atoms. The total magnetic moment comes out at 0.000 μB per atom. The energy is -27.4 eV/cell.